[1]
Density functional theory data (PBE) for a geometry-optimized PmSi2 structure.

Geometry as POSCAR:
```
PmSi2
1.0
2.912 -3.009 0.000
2.912 3.009 0.000
-1.478 0.000 3.821
Pm Si
1 2
Direct
0.000 0.000 0.000
0.395 0.395 0.702
0.605 0.605 0.298
```

## Properties
formation energy without anion corrections = -0.3683 eV per atom
ΔE to the lowest computed polymorph = 0.608 eV/f.u.

***

[2]
Density functional theory data (PBE) for a geometry-optimized AcLa2Cu2Sn2 structure.

Geometry as POSCAR:
```
AcLa2Cu2Sn2
1.0
2.318 1.338 9.987
-2.318 1.338 9.987
0.000 -2.676 9.987
Ac La Cu Sn
1 2 2 2
Direct
0.000 0.000 0.000
0.138 0.138 0.138
0.862 0.862 0.862
0.420 0.420 0.420
0.580 0.580 0.580
0.260 0.260 0.260
0.740 0.740 0.740
```

## Properties
calculated formation energy = -446.8 meV/atom

***

[3]
Density functional theory data (PBE) for a geometry-optimized Sm12AgPt6 structure.

Geometry as POSCAR:
```
Sm12AgPt6
1.0
6.541 3.776 3.886
-6.541 3.776 3.886
0.000 -7.552 3.886
Sm Ag Pt
12 1 6
Direct
0.066 0.929 0.671
0.071 0.329 0.934
0.176 0.577 0.424
0.329 0.934 0.071
0.423 0.576 0.824
0.424 0.176 0.577
0.576 0.824 0.423
0.577 0.424 0.176
0.671 0.066 0.929
0.824 0.423 0.576
0.929 0.671 0.066
0.934 0.071 0.329
0.000 0.000 0.000
0.137 0.306 0.613
0.306 0.613 0.137
0.387 0.863 0.694
0.613 0.137 0.306
0.694 0.387 0.863
0.863 0.694 0.387
```

## Properties
calculated formation energy = -696.9 meV/atom

***

[4]
Density functional theory data (PBE) for a geometry-optimized ReTe2Ir structure.

Geometry as POSCAR:
```
ReTe2Ir
1.0
3.069 0.000 0.000
0.000 3.069 0.000
0.000 0.000 9.223
Re Te Ir
1 2 1
Direct
0.000 0.000 0.000
0.000 0.000 0.591
0.500 0.500 0.189
0.500 0.500 0.817
```

## Properties
formation energy without anion corrections = 0.3621 eV per atom
ΔE to the lowest computed polymorph = 0.564 eV/f.u.

***

[5]
Density functional theory data (PBE) for a geometry-optimized Cs3TbPu2O9 structure.

Geometry as POSCAR:
```
Cs3TbPu2O9
1.0
6.216 0.000 0.000
-3.108 5.384 0.000
0.000 0.000 7.622
Cs Tb Pu O
3 1 2 9
Direct
0.000 0.000 0.000
0.333 0.667 0.663
0.667 0.333 0.337
0.000 0.000 0.500
0.333 0.667 0.163
0.667 0.333 0.837
0.000 0.500 0.000
0.178 0.355 0.319
0.178 0.822 0.319
0.355 0.178 0.681
0.500 0.000 0.000
0.500 0.500 0.000
0.645 0.822 0.319
0.822 0.178 0.681
0.822 0.645 0.681
```

## Properties
formation energy without anion corrections = -2.4504 eV per atom

***

[6]
Density functional theory data (PBE) for a geometry-optimized HgRuW structure.

Geometry as POSCAR:
```
HgRuW
1.0
0.000 3.077 3.077
3.077 0.000 3.077
3.077 3.077 0.000
Hg Ru W
1 1 1
Direct
0.000 0.000 0.000
0.750 0.750 0.750
0.500 0.500 0.500
```

## Properties
ΔE to the lowest computed polymorph = 1.577 eV/f.u.
calculated formation energy = 895.0 meV/atom

***

[7]
Density functional theory data (PBE) for a geometry-optimized PmHo2ScTe6 structure.

Geometry as POSCAR:
```
PmHo2ScTe6
1.0
3.815 2.202 6.971
-3.815 2.202 6.971
0.000 -4.405 6.971
Pm Ho Sc Te
1 2 1 6
Direct
0.000 0.000 0.000
0.185 0.185 0.185
0.688 0.688 0.688
0.503 0.503 0.503
0.108 0.413 0.766
0.289 0.899 0.586
0.413 0.766 0.108
0.586 0.289 0.899
0.766 0.108 0.413
0.899 0.586 0.289
```

## Properties
formation energy without anion corrections = -1.3091 eV per atom

***

[8]
Density functional theory data (PBE) for a geometry-optimized CaAgS2N structure.

Geometry as POSCAR:
```
CaAgS2N
1.0
5.240 0.000 0.000
0.000 5.240 0.000
0.000 0.000 4.397
Ca Ag S N
1 1 2 1
Direct
0.000 0.000 0.000
0.500 0.500 0.500
0.000 0.500 0.000
0.500 0.000 0.000
0.000 0.000 0.500
```

## Properties
formation energy without anion corrections = 0.9418 eV per atom
ΔE to the lowest computed polymorph = 3.533 eV/f.u.

***

[9]
Density functional theory data (PBE) for a geometry-optimized Ba4MgPb structure.

Geometry as POSCAR:
```
Ba4MgPb
1.0
0.000 5.193 5.193
5.193 0.000 5.193
5.193 5.193 0.000
Ba Mg Pb
4 1 1
Direct
0.376 0.376 0.376
0.376 0.376 0.872
0.376 0.872 0.376
0.872 0.376 0.376
0.000 0.000 0.000
0.750 0.750 0.750
```

## Properties
calculated formation energy = 266.6 meV/atom

***

[10]
Density functional theory data (PBE) for a geometry-optimized TmPaAgPt structure.

Geometry as POSCAR:
```
TmPaAgPt
1.0
0.000 3.544 3.544
3.544 0.000 3.544
3.544 3.544 0.000
Tm Pa Ag Pt
1 1 1 1
Direct
0.000 0.000 0.000
0.500 0.500 0.500
0.750 0.750 0.750
0.250 0.250 0.250
```

## Properties
calculated formation energy = -440.3 meV/atom

***

[11]
Density functional theory data (PBE) for a geometry-optimized Y3Be2Pt5 structure.

Geometry as POSCAR:
```
Y3Be2Pt5
1.0
9.741 0.000 0.000
0.000 9.741 0.000
0.000 0.000 3.666
Y Be Pt
6 4 10
Direct
0.000 0.000 0.000
0.177 0.323 0.000
0.323 0.823 0.000
0.500 0.500 0.000
0.677 0.177 0.000
0.823 0.677 0.000
0.115 0.615 0.000
0.385 0.115 0.000
0.615 0.885 0.000
0.885 0.385 0.000
0.000 0.500 0.500
0.071 0.776 0.500
0.224 0.071 0.500
0.276 0.571 0.500
0.429 0.276 0.500
0.500 0.000 0.500
0.571 0.724 0.500
0.724 0.429 0.500
0.776 0.929 0.500
0.929 0.224 0.500
```

## Properties
calculated formation energy = -1064.8 meV/atom

***

[12]
Density functional theory data (PBE) for a geometry-optimized AcTc2PbO8 structure.

Geometry as POSCAR:
```
AcTc2PbO8
1.0
6.105 0.000 0.000
-3.052 5.287 0.000
0.000 0.000 7.456
Ac Tc Pb O
1 2 1 8
Direct
0.000 0.000 0.000
0.333 0.667 0.311
0.667 0.333 0.689
0.000 0.000 0.500
0.168 0.337 0.233
0.168 0.832 0.233
0.333 0.667 0.546
0.337 0.168 0.767
0.663 0.832 0.233
0.667 0.333 0.454
0.832 0.168 0.767
0.832 0.663 0.767
```

## Properties
formation energy without anion corrections = -1.6872 eV per atom

***

The following spin magnetization values (in Bohr magnetons per cell) correspond, in order, to the records above: 0.000 0.000 0.000 0.000 4.000 0.001 0.000 0.031 0.001 0.059 0.000 3.005.
The following E values (in eV per atom) correspond, in order, to the records above: -5.5672 -4.7555 -5.7351 -6.5360 -7.8156 -6.6152 -5.2179 -3.3448 -1.8990 -6.1551 -6.7697 -7.3717.